VASP calculation (PBE) on a geometry-optimized PmNp2MoN4 structure.

Summary:
Its symmetry is Cmcm. For the calculated volume, the calculation gives 14.29 A^3/atom. The formation energy without anion corrections is -0.941 eV per atom. The spin magnetization is 4.99 μB per formula unit.

```
16
Lattice="1.677 -5.916 0.000 1.677 5.916 0.000 0.000 0.000 11.529" Properties=species:S:1:pos:R:3 pbc="T T T"
Pm 1.677 4.553 8.647
Pm 1.677 -4.553 2.882
Np 1.677 1.552 6.315
Np 1.677 1.552 10.979
Np 1.677 -1.552 0.550
Np 1.677 -1.552 5.215
Mo 1.677 4.169 2.882
Mo 1.677 -4.169 8.647
N 0.000 0.000 0.000
N 0.000 0.000 5.765
N 1.677 2.731 1.353
N 1.677 2.731 4.411
N 1.677 0.449 8.647
N 1.677 -0.449 2.882
N 1.677 -2.731 7.118
N 1.677 -2.731 10.176
```